(1)
Here is a relaxed TaCu2Tc crystal from the Alexandria database. Energies are from PBEsol.

DFT formation energy: 0.278 eV per atom

Cell: 6.009 6.009 6.009 Å, 90.00 90.00 90.00°
Fractional positions:
Ta 0.000 0.000 0.000
Ta 0.000 0.500 0.500
Ta 0.500 0.000 0.500
Ta 0.500 0.500 0.000
Cu 0.250 0.250 0.250
Cu 0.250 0.250 0.750
Cu 0.250 0.750 0.250
Cu 0.250 0.750 0.750
Cu 0.750 0.250 0.250
Cu 0.750 0.250 0.750
Cu 0.750 0.750 0.250
Cu 0.750 0.750 0.750
Tc 0.000 0.000 0.500
Tc 0.000 0.500 0.000
Tc 0.500 0.000 0.000
Tc 0.500 0.500 0.500


(2)
Here is a relaxed TaCu2Tc crystal from the Alexandria database. Energies are from PBEsol.

DFT formation energy: 0.010 eV per atom

Cell: 3.640 3.640 4.079 Å, 90.00 90.00 90.00°
Fractional positions:
Ta 0.000 0.000 0.000
Cu 0.000 0.500 0.500
Cu 0.500 0.000 0.500
Tc 0.500 0.500 0.000


(3)
Here is a relaxed TaCuTc2 crystal from the Alexandria database. Energies are from PBEsol.

DFT formation energy: 0.121 eV per atom

Cell: 6.115 6.115 6.115 Å, 90.00 90.00 90.00°
Fractional positions:
Ta 0.000 0.000 0.000
Ta 0.000 0.500 0.500
Ta 0.500 0.000 0.500
Ta 0.500 0.500 0.000
Cu 0.000 0.000 0.500
Cu 0.000 0.500 0.000
Cu 0.500 0.000 0.000
Cu 0.500 0.500 0.500
Tc 0.250 0.250 0.250
Tc 0.250 0.250 0.750
Tc 0.250 0.750 0.250
Tc 0.250 0.750 0.750
Tc 0.750 0.250 0.250
Tc 0.750 0.250 0.750
Tc 0.750 0.750 0.250
Tc 0.750 0.750 0.750


(4)
Here is a relaxed Ta4CuTe crystal from the Alexandria database. Energies are from PBEsol.

ΔE_f (raw): 0.6751 eV per atom

Cell: 5.427 5.427 5.427 Å, 60.00 60.00 60.00°
Fractional positions:
Ta 0.124 0.124 0.124
Ta 0.124 0.124 0.629
Ta 0.124 0.629 0.124
Ta 0.629 0.124 0.124
Cu 0.750 0.750 0.750
Te 0.500 0.500 0.500


(5)
Here is a relaxed TaTlCu2 crystal from the Alexandria database. Energies are from PBEsol.

DFT formation energy: 0.372 eV per atom

Cell: 4.190 4.190 3.562 Å, 90.00 90.00 90.00°
Fractional positions:
Ta 0.000 0.000 0.000
Tl 0.500 0.500 0.000
Cu 0.000 0.500 0.500
Cu 0.500 0.000 0.500


(6)
Here is a relaxed Ta2TlCu crystal from the Alexandria database. Energies are from PBEsol.

DFT formation energy: 0.305 eV per atom

Cell: 3.954 3.954 4.346 Å, 90.00 90.00 90.00°
Fractional positions:
Ta 0.000 0.500 0.000
Ta 0.500 0.000 0.000
Tl 0.000 0.000 0.500
Cu 0.500 0.500 0.500


(7)
Here is a relaxed TaTlCu crystal from the Alexandria database. Energies are from PBEsol.

DFT formation energy: 0.472 eV per atom

Cell: 2.991 2.991 6.883 Å, 90.00 90.00 120.00°
Fractional positions:
Ta 0.000 0.000 0.000
Tl 0.333 0.667 0.629
Cu 0.667 0.333 0.300


(8)
Here is a relaxed Ta2TlCu crystal from the Alexandria database. Energies are from PBEsol.

DFT formation energy: 0.482 eV per atom

Cell: 2.975 2.975 27.624 Å, 90.00 90.00 120.00°
Fractional positions:
Ta 0.000 0.000 0.242
Ta 0.000 0.000 0.758
Ta 0.333 0.667 0.424
Ta 0.333 0.667 0.909
Ta 0.667 0.333 0.091
Ta 0.667 0.333 0.576
Tl 0.000 0.000 0.000
Tl 0.333 0.667 0.667
Tl 0.667 0.333 0.333
Cu 0.000 0.000 0.500
Cu 0.333 0.667 0.167
Cu 0.667 0.333 0.833


(9)
Here is a relaxed TaTlCu2 crystal from the Alexandria database. Energies are from PBEsol.

DFT formation energy: 0.427 eV per atom

Cell: 2.883 4.644 9.375 Å, 90.00 90.00 90.00°
Fractional positions:
Ta 0.000 0.000 0.000
Ta 0.500 0.500 0.500
Tl 0.000 0.500 0.778
Tl 0.500 0.000 0.278
Cu 0.000 0.000 0.527
Cu 0.000 0.500 0.244
Cu 0.500 0.000 0.744
Cu 0.500 0.500 0.027


(10)
Here is a relaxed Ta2TlCu crystal from the Alexandria database. Energies are from PBEsol.

DFT formation energy: 0.343 eV per atom

Cell: 2.914 4.010 5.829 Å, 90.00 90.32 90.00°
Fractional positions:
Ta 0.002 0.000 0.270
Ta 0.998 0.000 0.730
Tl 0.500 0.500 0.000
Cu 0.500 0.500 0.500


(11)
Here is a relaxed Ta2TlCu crystal from the Alexandria database. Energies are from PBEsol.

DFT formation energy: 0.269 eV per atom

Cell: 3.576 4.500 8.752 Å, 90.00 90.00 90.00°
Fractional positions:
Ta 0.000 0.000 0.000
Ta 0.000 0.500 0.250
Ta 0.500 0.000 0.250
Ta 0.500 0.500 0.000
Tl 0.000 0.500 0.717
Tl 0.500 0.000 0.717
Cu 0.000 0.000 0.473
Cu 0.500 0.500 0.473


(12)
Here is a relaxed TaTlCu2 crystal from the Alexandria database. Energies are from PBEsol.

DFT formation energy: 0.421 eV per atom

Cell: 2.932 2.932 26.805 Å, 90.00 90.00 120.00°
Fractional positions:
Ta 0.000 0.000 0.000
Ta 0.333 0.667 0.667
Ta 0.667 0.333 0.333
Tl 0.000 0.000 0.500
Tl 0.333 0.667 0.167
Tl 0.667 0.333 0.833
Cu 0.000 0.000 0.254
Cu 0.000 0.000 0.746
Cu 0.333 0.667 0.413
Cu 0.333 0.667 0.921
Cu 0.667 0.333 0.079
Cu 0.667 0.333 0.587


(13)
Here is a relaxed TaTlCu2 crystal from the Alexandria database. Energies are from PBEsol.

DFT formation energy: 0.323 eV per atom

Cell: 2.948 3.639 6.002 Å, 90.00 90.00 90.00°
Fractional positions:
Ta 0.000 0.000 0.000
Tl 0.000 0.000 0.500
Cu 0.500 0.500 0.218
Cu 0.500 0.500 0.782


(14)
Here is a relaxed TaCuW2 crystal from the Alexandria database. Energies are from PBEsol.

DFT formation energy: 0.316 eV per atom

Cell: 9.291 2.836 4.739 Å, 90.00 100.40 90.00°
Fractional positions:
Ta 0.000 0.000 0.000
Ta 0.500 0.500 0.000
Cu 0.000 0.500 0.500
Cu 0.500 0.000 0.500
W 0.234 0.000 0.736
W 0.266 0.500 0.264
W 0.734 0.500 0.736
W 0.766 0.000 0.264


(15)
Here is a relaxed TaCuW2 crystal from the Alexandria database. Energies are from PBEsol.

DFT formation energy: 0.228 eV per atom

Cell: 2.676 4.462 5.194 Å, 90.00 98.39 90.00°
Fractional positions:
Ta 0.000 0.000 0.000
Cu 0.321 0.500 0.767
W 0.480 0.000 0.499
W 0.746 0.500 0.271


(16)
Here is a relaxed YTaCu crystal from the Alexandria database. Energies are from PBEsol.

DFT formation energy: 1.222 eV per atom

Cell: 6.331 6.331 6.331 Å, 90.00 90.00 90.00°
Fractional positions:
Y 0.000 0.000 0.000
Y 0.000 0.500 0.500
Y 0.500 0.000 0.500
Y 0.500 0.500 0.000
Ta 0.250 0.250 0.750
Ta 0.250 0.750 0.250
Ta 0.750 0.250 0.250
Ta 0.750 0.750 0.750
Cu 0.000 0.000 0.500
Cu 0.000 0.500 0.000
Cu 0.500 0.000 0.000
Cu 0.500 0.500 0.500


(17)
Here is a relaxed Y2TaCu crystal from the Alexandria database. Energies are from PBEsol.

DFT formation energy: 0.352 eV per atom

Cell: 3.240 3.240 28.416 Å, 90.00 90.00 120.00°
Fractional positions:
Y 0.000 0.000 0.245
Y 0.000 0.000 0.755
Y 0.333 0.667 0.422
Y 0.333 0.667 0.912
Y 0.667 0.333 0.088
Y 0.667 0.333 0.578
Ta 0.000 0.000 0.000
Ta 0.333 0.667 0.667
Ta 0.667 0.333 0.333
Cu 0.000 0.000 0.500
Cu 0.333 0.667 0.167
Cu 0.667 0.333 0.833


(18)
Here is a relaxed TaZnCu2 crystal from the Alexandria database. Energies are from PBEsol.

DFT formation energy: -0.001 eV per atom

Cell: 2.773 2.773 7.000 Å, 90.00 90.00 90.00°
Fractional positions:
Ta 0.000 0.000 0.000
Zn 0.000 0.000 0.500
Cu 0.500 0.500 0.270
Cu 0.500 0.500 0.730


(19)
Here is a relaxed TaZnCu2 crystal from the Alexandria database. Energies are from PBEsol.

DFT formation energy: 0.160 eV per atom

Cell: 2.728 2.728 25.893 Å, 90.00 90.00 120.00°
Fractional positions:
Ta 0.000 0.000 0.000
Ta 0.333 0.667 0.667
Ta 0.667 0.333 0.333
Zn 0.000 0.000 0.241
Zn 0.333 0.667 0.907
Zn 0.667 0.333 0.574
Cu 0.000 0.000 0.496
Cu 0.000 0.000 0.753
Cu 0.333 0.667 0.163
Cu 0.333 0.667 0.420
Cu 0.667 0.333 0.087
Cu 0.667 0.333 0.829


(20)
Here is a relaxed TaZn2Cu crystal from the Alexandria database. Energies are from PBEsol.

DFT formation energy: -0.032 eV per atom

Cell: 2.811 2.811 7.102 Å, 90.00 90.00 90.00°
Fractional positions:
Ta 0.000 0.000 0.000
Zn 0.000 0.000 0.523
Zn 0.500 0.500 0.277
Cu 0.500 0.500 0.740


| no. | VASP energy (eV per atom) |
| --- | --- |
| 1 | -7.8433 |
| 2 | -8.1111 |
| 3 | -9.7338 |
| 4 | -9.0023 |
| 5 | -5.5906 |
| 6 | -7.7116 |
| 7 | -6.0331 |
| 8 | -7.5346 |
| 9 | -5.5354 |
| 10 | -7.6733 |
| 11 | -7.7477 |
| 12 | -5.5415 |
| 13 | -5.6397 |
| 14 | -10.8092 |
| 15 | -10.8974 |
| 16 | -6.6802 |
| 17 | -7.2801 |
| 18 | -5.7009 |
| 19 | -5.5402 |
| 20 | -5.0448 |